Record 1
# Th2AlIn

A relaxed structure of Th2AlIn (PBE, Alexandria via LeMat-Bulk).

extended XYZ file:
```
4
Lattice="-3.4872 1.7361 -3.7253 -4.9278 -2.1638 -0.2949 -4.3045 2.8887 1.4762" Properties=species:S:1:pos:R:3 pbc="T T T"
Th -9.5396 1.8457 -1.9080
Th -3.1799 0.6152 -0.6360
Al -6.3597 1.2305 -1.2720
In 0.0000 0.0000 0.0000
```

Summary:
Offset from the most stable computed form in meV/atom: 113
Mass density in g/cm³: 9.09
Volume in Å³ per atom: 27.682
Energy of formation in eV/atom: -0.16
Spin magnetization in μB per formula unit: 0.0
Crystal system: cubic



Record 2
# Th2AlIn

A relaxed structure of Th2AlIn (PBE, Alexandria via LeMat-Bulk).

extended XYZ file:
```
4
Lattice="3.4470 0.0000 0.0000 0.0000 3.4470 0.0000 0.0000 0.0000 9.0936" Properties=species:S:1:pos:R:3 pbc="T T T"
Th 0.0000 0.0000 2.1135
Th 0.0000 0.0000 6.9801
In 1.7235 1.7235 4.5468
Al 1.7235 1.7235 0.0000
```

Summary:
Offset from the most stable computed form in meV/atom: 0
Mass density in g/cm³: 9.31
Volume in Å³ per atom: 27.011
Energy of formation in eV/atom: -0.27
Spin magnetization in μB per formula unit: 0.0
Crystal system: tetragonal



Record 3
# Th2AlIn

A relaxed structure of Th2AlIn (PBE, Alexandria via LeMat-Bulk).

extended XYZ file:
```
4
Lattice="-0.4341 3.3277 0.6914 -4.6741 0.0691 -3.2674 -1.9804 -1.3344 5.1794" Properties=species:S:1:pos:R:3 pbc="T T T"
Al -5.7794 0.6062 1.9438
Th -3.3901 -1.1746 3.5249
Th -4.8805 -0.3980 -1.1486
In -3.0114 1.1326 1.1485
```

Summary:
Offset from the most stable computed form in meV/atom: 16
Mass density in g/cm³: 9.30
Volume in Å³ per atom: 27.059
Energy of formation in eV/atom: -0.26
Spin magnetization in μB per formula unit: 0.0
Crystal system: orthorhombic



Record 4
# Th12AlIn3

A relaxed structure of Th12AlIn3 (PBE, Alexandria via LeMat-Bulk).

extended XYZ file:
```
16
Lattice="-1.5444 -1.9208 4.2702 4.3351 1.1127 2.0684 -7.0884 17.6360 5.3695" Properties=species:S:1:pos:R:3 pbc="T T T"
Th -3.4220 5.6324 4.1423
Th -2.2710 11.5996 4.3964
Th -0.4823 7.1491 3.0414
Th -2.1489 8.4139 5.8540
Th -4.0643 16.0612 5.7548
Th -3.9378 12.8649 7.2092
Th 1.3110 2.6875 1.6830
Th -5.2108 10.0828 5.4973
Th -0.3599 3.9630 4.4989
Th 1.3954 -0.4041 3.1693
Th -1.6288 1.1708 2.7840
Th -7.0040 14.5444 6.8557
In -3.5442 8.8180 2.6847
In -5.3321 13.2662 4.0390
In -1.7564 4.3698 1.3304
Al 0.0000 0.0000 0.0000
```

Summary:
Mass density in g/cm³: 10.91
Volume in Å³ per atom: 30.008
Energy of formation in eV/atom: -0.14
Spin magnetization in μB per formula unit: 0.0
Crystal system: tetragonal



Record 5
# ThAl2In

A relaxed structure of ThAl2In (PBE, Alexandria via LeMat-Bulk).

extended XYZ file:
```
4
Lattice="4.6370 0.0000 0.0000 2.3185 4.0158 0.0000 2.3185 1.3386 5.1005" Properties=species:S:1:pos:R:3 pbc="T T T"
In 4.6370 2.6772 2.5503
Al 6.9555 4.0158 3.3288
Al 2.3185 1.3386 1.7718
Th 0.0000 0.0000 0.0000
```

Summary:
Mass density in g/cm³: 7.01
Volume in Å³ per atom: 23.745
Energy of formation in eV/atom: -0.11
Spin magnetization in μB per formula unit: 0.0
Crystal system: trigonal



Record 6
# ThAl2In

A relaxed structure of ThAl2In (PBE, Alexandria via LeMat-Bulk).

extended XYZ file:
```
4
Lattice="-0.6475 -4.2761 -0.9412 4.4933 -0.7989 0.5387 -0.6903 -0.8767 4.4580" Properties=species:S:1:pos:R:3 pbc="T T T"
Al -0.3451 -0.4384 2.2290
Al 2.2467 -0.3995 0.2693
Th 1.5778 -2.9759 2.0277
In -0.3237 -2.1381 -0.4706
```

Summary:
Mass density in g/cm³: 7.12
Volume in Å³ per atom: 23.368
Energy of formation in eV/atom: -0.29
Spin magnetization in μB per formula unit: 0.0
Crystal system: tetragonal



Record 7
# TmThAlIn

A relaxed structure of TmThAlIn (PBE, Alexandria via LeMat-Bulk).

extended XYZ file:
```
4
Lattice="-0.3629 -4.5090 2.7316 4.0503 -1.6135 2.9861 -0.3867 0.1264 5.2687" Properties=species:S:1:pos:R:3 pbc="T T T"
Al 2.4755 -4.4970 8.2398
In 0.8252 -1.4990 2.7466
Th 1.6503 -2.9980 5.4932
Tm 0.0000 0.0000 0.0000
```

Summary:
Mass density in g/cm³: 8.64
Volume in Å³ per atom: 26.086
Energy of formation in eV/atom: -0.26
Spin magnetization in μB per formula unit: 0.0
Crystal system: cubic



Record 8
# TiAlIn

A relaxed structure of TiAlIn (PBE, Alexandria via LeMat-Bulk).

extended XYZ file:
```
3
Lattice="2.9967 0.0000 0.0000 0.0000 4.6299 0.0000 0.0000 -2.3149 4.0096" Properties=species:S:1:pos:R:3 pbc="T T T"
In 1.4978 2.3149 1.3365
Al 1.4992 0.0000 2.6731
Ti 2.9962 0.0000 0.0000
```

Summary:
Mass density in g/cm³: 5.66
Volume in Å³ per atom: 18.543
Energy of formation in eV/atom: -0.05
Spin magnetization in μB per formula unit: 0.7
Crystal system: hexagonal



Record 9
# Ti4AlIn

A relaxed structure of Ti4AlIn (PBE, Alexandria via LeMat-Bulk).

extended XYZ file:
```
6
Lattice="2.9048 0.0000 0.8402 1.5969 4.9084 -0.0796 -0.5551 -1.2384 7.3610" Properties=species:S:1:pos:R:3 pbc="T T T"
Al 1.9733 1.8350 4.0608
Ti 3.1801 4.0594 5.3301
Ti 2.7725 1.3730 6.7395
Ti 1.1742 2.2970 1.3821
Ti 0.7665 -0.3894 2.7915
In 0.0000 0.0000 0.0000
```

Summary:
Offset from the most stable computed form in meV/atom: 0
Mass density in g/cm³: 5.26
Volume in Å³ per atom: 17.549
Energy of formation in eV/atom: -0.20
Spin magnetization in μB per formula unit: 0.0
Crystal system: monoclinic



Record 10
# Ti5AlIn2

A relaxed structure of Ti5AlIn2 (PBE, Alexandria via LeMat-Bulk).

extended XYZ file:
```
8
Lattice="-3.7021 -1.7525 -0.0224 1.3565 -2.8319 -2.6302 3.4905 -2.6873 7.8830" Properties=species:S:1:pos:R:3 pbc="T T T"
Ti 2.4587 -5.2412 3.7217
Ti 1.2155 -2.5702 0.2047
Ti -1.3138 -2.0305 1.5087
Ti -0.0706 -4.7016 5.0257
Ti -1.1728 -2.2922 -1.3263
In -0.0170 -4.7755 1.9435
In 1.1619 -2.4963 3.2870
Al 0.0000 0.0000 0.0000
```

Summary:
Mass density in g/cm³: 5.74
Volume in Å³ per atom: 17.938
Energy of formation in eV/atom: -0.21
Spin magnetization in μB per formula unit: 0.0
Crystal system: tetragonal



Record 11
# Ti4AlIn

A relaxed structure of Ti4AlIn (PBE, Alexandria via LeMat-Bulk).

extended XYZ file:
```
12
Lattice="-1.1777 -4.3673 1.1711 7.3048 -1.1425 3.0797 -1.8346 1.8451 5.0359" Properties=species:S:1:pos:R:3 pbc="T T T"
Ti 2.8250 -3.4670 3.8945
Ti 0.1562 -2.6484 4.2619
Ti 1.4676 -0.1977 5.3923
Ti 5.0281 -1.9131 2.5771
Ti 5.1831 -3.8351 4.8883
Ti -0.7355 -1.7516 6.7096
Ti 4.1364 -1.0162 5.0249
Ti -0.8904 0.1704 4.3984
Al 2.0542 -2.5657 6.4736
Al 2.2385 -1.0990 2.8132
In -0.2021 -0.7174 1.7843
In 4.4947 -2.9473 7.5024
```

Summary:
Offset from the most stable computed form in meV/atom: 30
Mass density in g/cm³: 5.22
Volume in Å³ per atom: 17.677
Energy of formation in eV/atom: -0.17
Spin magnetization in μB per formula unit: 0.0
Crystal system: orthorhombic



Record 12
# Ti2Al2In

A relaxed structure of Ti2Al2In (PBE, Alexandria via LeMat-Bulk).

extended XYZ file:
```
10
Lattice="7.7065 0.0000 0.0000 0.0000 7.7065 0.0000 0.0000 0.0000 3.1313" Properties=species:S:1:pos:R:3 pbc="T T T"
Ti 6.7768 4.7829 0.0000
Ti 2.9236 6.7768 0.0000
Ti 4.7829 0.9297 0.0000
Ti 0.9297 2.9236 0.0000
Al 2.4817 1.3716 1.5656
Al 1.3716 5.2248 1.5656
Al 6.3349 2.4817 1.5656
Al 5.2248 6.3349 1.5656
In 0.0000 0.0000 0.0000
In 3.8532 3.8532 0.0000
```

Summary:
Offset from the most stable computed form in meV/atom: 112
Mass density in g/cm³: 4.72
Volume in Å³ per atom: 18.597
Energy of formation in eV/atom: -0.05
Spin magnetization in μB per formula unit: 0.9
Crystal system: tetragonal



Record 13
# TiAlIn2

A relaxed structure of TiAlIn2 (PBE, Alexandria via LeMat-Bulk).

extended XYZ file:
```
4
Lattice="4.2767 0.0000 0.0000 0.0000 4.2795 0.0000 0.0000 0.0000 4.2795" Properties=species:S:1:pos:R:3 pbc="T T T"
In 0.0000 0.0000 2.1397
In 0.0000 2.1397 0.0000
Al 2.1383 2.1397 2.1397
Ti 2.1383 0.0000 0.0000
```

Summary:
Mass density in g/cm³: 6.46
Volume in Å³ per atom: 19.581
Energy of formation in eV/atom: -0.04
Spin magnetization in μB per formula unit: 0.0
Crystal system: tetragonal



Record 14
# Ti8Al3In3

A relaxed structure of Ti8Al3In3 (PBE, Alexandria via LeMat-Bulk).

extended XYZ file:
```
14
Lattice="2.8451 0.0001 0.5717 0.9822 9.2652 2.4777 -0.4381 -1.2969 9.5431" Properties=species:S:1:pos:R:3 pbc="T T T"
Ti 0.8987 2.2244 10.2556
Ti 2.9062 6.4299 7.6319
Ti 2.4904 5.7441 2.3369
Ti 0.4829 1.5385 4.9606
Ti 2.5914 4.0895 9.1975
Ti 0.7977 3.8790 3.3950
Ti 1.6618 -0.4179 6.4590
Ti 1.7273 8.3864 6.1336
Al -0.0806 1.3616 7.7647
Al 1.4225 0.0001 0.2859
Al 3.4697 6.6069 4.8278
In 1.6945 3.9842 6.2963
In 0.9595 6.5297 9.9538
In 2.4296 1.4387 2.6387
```

Summary:
Mass density in g/cm³: 5.12
Volume in Å³ per atom: 18.735
Energy of formation in eV/atom: -0.03
Spin magnetization in μB per formula unit: 0.0
Crystal system: orthorhombic



Record 15
# Ti4AlIn3

A relaxed structure of Ti4AlIn3 (PBE, Alexandria via LeMat-Bulk).

extended XYZ file:
```
8
Lattice="2.9477 0.0000 0.0000 0.0000 2.9477 0.0000 0.0000 0.0000 16.9535" Properties=species:S:1:pos:R:3 pbc="T T T"
Ti 0.0000 0.0000 15.0652
Ti 0.0000 0.0000 6.3207
Ti 0.0000 0.0000 1.8883
Ti 0.0000 0.0000 10.6328
In 1.4739 1.4739 12.8351
In 1.4739 1.4739 8.4767
In 1.4739 1.4739 4.1184
Al 1.4739 1.4739 0.0000
```

Summary:
Mass density in g/cm³: 6.35
Volume in Å³ per atom: 18.414
Energy of formation in eV/atom: -0.21
Spin magnetization in μB per formula unit: 0.0
Crystal system: tetragonal



Record 16
# TiAl2In

A relaxed structure of TiAl2In (PBE, Alexandria via LeMat-Bulk).

extended XYZ file:
```
8
Lattice="7.5231 0.0000 0.0000 0.0000 7.5231 0.0000 3.7615 3.7615 2.8307" Properties=species:S:1:pos:R:3 pbc="T T T"
Al 1.8731 5.6423 0.7077
Al 9.4039 9.4115 2.1231
Al 5.6500 1.8808 0.7077
Al 5.6423 5.6347 2.1231
Ti 3.7615 3.7615 0.0000
Ti 3.7615 7.5231 1.4154
In 0.0000 0.0000 0.0000
In 7.5231 3.7615 1.4154
```

Summary:
Mass density in g/cm³: 4.49
Volume in Å³ per atom: 20.026
Energy of formation in eV/atom: 0.27
Spin magnetization in μB per formula unit: 0.0
Crystal system: tetragonal



Record 17
# Ti3Al2In

A relaxed structure of Ti3Al2In (PBE, Alexandria via LeMat-Bulk).

extended XYZ file:
```
6
Lattice="2.8899 0.0000 0.0000 0.0000 2.8899 0.0000 0.0000 0.0000 12.3277" Properties=species:S:1:pos:R:3 pbc="T T T"
Al 1.4450 1.4450 10.3642
Al 1.4450 1.4450 1.9635
Ti 0.0000 0.0000 8.4387
Ti 0.0000 0.0000 3.8889
Ti 0.0000 0.0000 0.0000
In 1.4450 1.4450 6.1638
```

Summary:
Mass density in g/cm³: 5.04
Volume in Å³ per atom: 17.159
Energy of formation in eV/atom: -0.32
Spin magnetization in μB per formula unit: 0.0
Crystal system: tetragonal



Record 18
# Ti7Al2In2

A relaxed structure of Ti7Al2In2 (PBE, Alexandria via LeMat-Bulk).

extended XYZ file:
```
11
Lattice="5.3758 -0.0014 -1.3431 0.0031 8.1786 0.0041 -1.6754 -0.0020 5.2816" Properties=species:S:1:pos:R:3 pbc="T T T"
Al 3.4252 8.1770 0.4965
Al 0.2783 -0.0018 3.4461
In 2.7882 4.0868 2.9681
In 0.9152 4.0885 0.9745
Ti 1.0146 5.7416 4.6129
Ti 1.8507 1.5179 1.9700
Ti 4.5390 2.4320 1.2989
Ti 0.0000 0.0000 0.0000
Ti -0.8355 5.7432 2.6437
Ti 1.8527 6.6573 1.9726
Ti 2.6888 2.4337 -0.6703
```

Summary:
Mass density in g/cm³: 4.80
Volume in Å³ per atom: 19.437
Energy of formation in eV/atom: 0.26
Spin magnetization in μB per formula unit: 2.0
Crystal system: orthorhombic



Record 19
# Ti6AlIn2

A relaxed structure of Ti6AlIn2 (PBE, Alexandria via LeMat-Bulk).

extended XYZ file:
```
9
Lattice="-2.3636 0.0012 -3.7586 4.7794 -3.0428 -3.0065 -3.9290 -4.4388 5.0884" Properties=species:S:1:pos:R:3 pbc="T T T"
Ti -4.2878 -3.2122 0.0709
Ti -0.0817 -0.6997 -2.5713
Ti 2.4975 -2.3418 -4.1938
Ti 2.7746 -4.2682 -1.7475
Ti 0.2346 -2.6511 -0.1497
Ti -1.7478 -4.8293 -1.5269
In 0.3229 -3.4592 -2.8275
In -1.8361 -4.0211 1.1509
Al 0.0000 0.0000 0.0000
```

Summary:
Offset from the most stable computed form in meV/atom: 131
Mass density in g/cm³: 4.68
Volume in Å³ per atom: 21.421
Energy of formation in eV/atom: 0.39
Spin magnetization in μB per formula unit: 1.4
Crystal system: orthorhombic



Record 20
# Ti2Al2In

A relaxed structure of Ti2Al2In (PBE, Alexandria via LeMat-Bulk).

extended XYZ file:
```
10
Lattice="7.3806 0.0000 0.0000 0.0000 7.3806 0.0000 0.0000 0.0000 3.2425" Properties=species:S:1:pos:R:3 pbc="T T T"
In 0.0000 0.0000 0.0000
In 3.6903 3.6903 0.0000
Al 0.8920 2.7983 0.0000
Al 2.7983 6.4886 0.0000
Al 6.4886 4.5823 0.0000
Al 4.5823 0.8920 0.0000
Ti 2.3940 1.2963 1.6213
Ti 4.9866 6.0842 1.6213
Ti 1.2963 4.9866 1.6213
Ti 6.0842 2.3940 1.6213
```

Summary:
Offset from the most stable computed form in meV/atom: 0
Mass density in g/cm³: 4.97
Volume in Å³ per atom: 17.663
Energy of formation in eV/atom: -0.16
Spin magnetization in μB per formula unit: 0.0
Crystal system: tetragonal